Li4SmZn8 | PBE | optimized geometry

Values from the calculation:
Formation energy, eV/atom: -0.205
Total DFT energy (no corrections), eV per atom: -1.94
Size of the total moment, μB per formula unit: 0.00
N(E_F), states/eV per atom: 0.260

```
Li4SmZn8
1.0
4.739 0.000 0.000
2.370 6.576 0.000
2.370 0.000 6.576
Li Sm Zn
4 1 8
Direct
0.000 0.000 0.500 Li
0.500 0.000 0.500 Li
0.000 0.500 0.000 Li
0.500 0.500 0.000 Li
0.000 0.000 0.000 Sm
0.000 0.358 0.642 Zn
0.000 0.642 0.358 Zn
0.358 0.642 0.642 Zn
0.642 0.358 0.358 Zn
0.500 0.779 0.221 Zn
0.500 0.221 0.779 Zn
0.279 0.221 0.221 Zn
0.721 0.779 0.779 Zn
```



TiGa2Co2 | PBE | optimized geometry

Values from the calculation:
Formation energy, eV/atom: -0.082
Total DFT energy (no corrections), eV per atom: -5.71
Size of the total moment, μB per formula unit: 0.00
N(E_F), states/eV per atom: 0.746

```
TiGa2Co2
1.0
3.521 0.000 0.000
0.000 3.521 0.000
1.760 1.760 5.696
Co Ga Ti
2 2 1
Direct
0.402 0.402 0.196 Co
0.598 0.598 0.804 Co
0.750 0.250 0.500 Ga
0.250 0.750 0.500 Ga
0.000 0.000 0.000 Ti
```



total DFT energy (no corrections) of number 1 (Li4SmZn8)? -1.94 eV per atom